A geometry-optimized Er12ZrTl3 structure, computed with GGA-PBE.

The structure in CIF format:
```
data_Er12ZrTl3
_chemical_formula_sum 'Er12 Zr1 Tl3'
_cell_length_a 4.7965
_cell_length_b 4.7965
_cell_length_c 19.4926
_cell_angle_alpha 90.00
_cell_angle_beta 90.00
_cell_angle_gamma 90.00
_symmetry_space_group_name_H-M 'P 4/m m m'
_symmetry_Int_Tables_number 123
_symmetry_space_group_name_Hall '-P 4 2'
loop_
_atom_site_label
_atom_site_fract_x
_atom_site_fract_y
_atom_site_fract_z
Er1 0.0000 0.0000 0.0000
Er2 0.0000 0.0000 0.2481
Er3 0.0000 0.0000 0.5000
Er4 0.0000 0.5000 0.1243
Er5 0.0000 0.5000 0.3765
Zr1 0.5000 0.5000 0.5000
Tl1 0.5000 0.5000 0.0000
Tl2 0.5000 0.5000 0.2465
```

## Properties
Calculated formation energy = -118 meV/atom
V = 28.0 Å³/atom
Total magnetic moment = 0.03 μB per formula unit